(1)
DFT (PBE-GGA) results for crystalline K2FeAs at its relaxed geometry.

The space group is I-42d (No. 122) and the conventional cell measures 12.5781, 12.5781 and 4.4680 Å, with angles of 90.00, 90.00 and 90.00 degrees. The asymmetric unit holds K at (0.0129, 0.2500, 0.1250), Fe at (0.0000, 0.0000, 0.0000) and As at (0.0000, 0.0000, 0.5000).

Its formation enthalpy at 0 K is 0.16 eV/atom.


(2)
DFT (PBE-GGA) results for crystalline K2AlAs at its relaxed geometry.

The space group is Imm2 (No. 44) and the conventional cell measures 3.9599, 5.6507 and 11.7372 Å, with angles of 90.00, 90.00 and 90.00 degrees. The asymmetric unit holds K at (0.0000, 0.0000, 0.0000), K at (0.0000, 0.5000, 0.1806), Al at (0.0000, 0.0000, 0.3848) and As at (0.0000, 0.5000, 0.7545).

For the energy above the lowest structure with this stoichiometry, the calculation gives 12.0 meV per atom. Its formation enthalpy at 0 K is -0.25 eV/atom.


(3)
DFT (PBE-GGA) results for crystalline Tl2ZnOs at its relaxed geometry.

The space group is Imm2 (No. 44) and the conventional cell measures 3.0207, 4.6525 and 12.8019 Å, with angles of 90.00, 90.00 and 90.00 degrees. The asymmetric unit holds Tl at (0.0000, 0.0000, 0.0000), Tl at (0.0000, 0.5000, 0.2049), Zn at (0.0000, 0.0000, 0.3760) and Os at (0.0000, 0.5000, 0.7098).

For the energy above the lowest structure with this stoichiometry, the calculation gives 50.4 meV per atom. Its formation enthalpy at 0 K is 0.58 eV/atom.


(4)
DFT (PBE-GGA) results for crystalline CaTaTe2 at its relaxed geometry.

The space group is R-3m (No. 166, hexagonal axes) and the conventional cell measures 4.0263, 4.0263 and 28.0584 Å, with angles of 90.00, 90.00 and 120.00 degrees. The asymmetric unit holds Ca at (0.0000, 0.0000, 0.0000), Ta at (0.0000, 0.0000, 0.5000) and Te at (0.0000, 0.0000, 0.4057).

For the energy above the lowest structure with this stoichiometry, the calculation gives 662.5 meV per atom.


(5)
DFT (PBE-GGA) results for crystalline SiSbOs2 at its relaxed geometry.

The space group is Pmm2 (No. 25) and the conventional cell measures 2.9595, 3.8452 and 5.7146 Å, with angles of 90.00, 90.00 and 90.00 degrees. The asymmetric unit holds Si at (0.0000, 0.0000, 0.0000), Sb at (0.5000, 0.5000, 0.6273), Os at (0.0000, 0.0000, 0.4255) and Os at (0.5000, 0.5000, 0.0979).

For the energy above the lowest structure with this stoichiometry, the calculation gives 89.1 meV per atom.


(6)
DFT (PBE-GGA) results for crystalline PrIn2Ag6 at its relaxed geometry.

The space group is Immm (No. 71) and the conventional cell measures 3.4939, 8.1713 and 13.9836 Å, with angles of 90.00, 90.00 and 90.00 degrees. The asymmetric unit holds Pr at (0.0000, 0.0000, 0.0000), In at (0.0000, 0.5000, 0.1460), Ag at (0.0000, 0.1699, 0.5000) and Ag at (0.0000, 0.3238, 0.3229).

Its formation enthalpy at 0 K is -0.04 eV/atom.


(7)
DFT (PBE-GGA) results for crystalline YVCo2B at its relaxed geometry.

The space group is P4/mmm (No. 123) and the conventional cell measures 3.9783, 3.9783 and 4.2022 Å, with angles of 90.00, 90.00 and 90.00 degrees. The asymmetric unit holds Y at (0.0000, 0.0000, 0.0000), V at (0.5000, 0.5000, 0.0000), Co at (0.0000, 0.5000, 0.5000) and B at (0.5000, 0.5000, 0.5000).

Its formation enthalpy at 0 K is -0.02 eV/atom.


(8)
DFT (PBE-GGA) results for crystalline YReAg2Ru at its relaxed geometry.

The space group is P4/mmm (No. 123) and the conventional cell measures 5.0438, 5.0438 and 5.0509 Å, with angles of 90.00, 90.00 and 90.00 degrees. The asymmetric unit holds Y at (0.0000, 0.0000, 0.0000), Re at (0.0000, 0.0000, 0.5000), Ag at (0.0000, 0.5000, 0.5000) and Ru at (0.5000, 0.5000, 0.0000).

Its formation enthalpy at 0 K is 1.69 eV/atom.


(9)
DFT (PBE-GGA) results for crystalline BaYTe2N at its relaxed geometry.

The space group is P4/mmm (No. 123) and the conventional cell measures 6.2977, 6.2977 and 4.4529 Å, with angles of 90.00, 90.00 and 90.00 degrees. The asymmetric unit holds Ba at (0.0000, 0.0000, 0.0000), Y at (0.5000, 0.5000, 0.5000), Te at (0.0000, 0.5000, 0.0000) and N at (0.0000, 0.0000, 0.5000).

For the energy above the lowest structure with this stoichiometry, the calculation gives 1173.6 meV per atom.


(10)
DFT (PBE-GGA) results for crystalline LaPrIn3 at its relaxed geometry.

The space group is I-4m2 (No. 119) and the conventional cell measures 5.9850, 5.9850 and 23.2328 Å, with angles of 90.00, 90.00 and 90.00 degrees. The asymmetric unit holds La at (0.0000, 0.0000, 0.0000), La at (0.0000, 0.5000, 0.2500), Pr at (0.0000, 0.0000, 0.4187), In at (0.0000, 0.2473, 0.1275) and In at (0.0000, 0.5000, 0.0037).

For the energy above the lowest structure with this stoichiometry, the calculation gives 341.7 meV per atom. Its formation enthalpy at 0 K is 0.05 eV/atom.


(11)
DFT (PBE-GGA) results for crystalline LiTl2Cl at its relaxed geometry.

The space group is Imm2 (No. 44) and the conventional cell measures 3.5055, 5.6608 and 10.6600 Å, with angles of 90.00, 90.00 and 90.00 degrees. The asymmetric unit holds Li at (0.0000, 0.0000, 0.0000), Tl at (0.0000, 0.0000, 0.4329), Tl at (0.0000, 0.5000, 0.2235) and Cl at (0.0000, 0.5000, 0.6409).

For the energy above the lowest structure with this stoichiometry, the calculation gives 157.5 meV per atom.


(12)
DFT (PBE-GGA) results for crystalline Li2CaAs at its relaxed geometry.

The space group is C2/m (No. 12) and the conventional cell measures 7.9641, 4.0826 and 5.3296 Å, with angles of 90.00, 106.61 and 90.00 degrees. The asymmetric unit holds Li at (0.2026, 0.0000, 0.1121), Ca at (0.0000, 0.0000, 0.5000) and As at (0.0000, 0.5000, 0.0000).

Its formation enthalpy at 0 K is -0.56 eV/atom.


(13)
DFT (PBE-GGA) results for crystalline Ti6FeNi3 at its relaxed geometry.

The space group is P2_1/m (No. 11) and the conventional cell measures 7.2995, 4.3280 and 9.5050 Å, with angles of 90.00, 109.64 and 90.00 degrees. The asymmetric unit holds Ti at (0.0226, 0.2500, 0.4017), Ti at (0.1612, 0.7500, 0.1850), Ti at (0.2547, 0.2500, 0.0047), Ti at (0.3469, 0.7500, 0.8140), Ti at (0.3755, 0.2500, 0.3266), Ti at (0.3914, 0.2500, 0.6189), Fe at (0.4539, 0.7500, 0.0967), Ni at (0.0396, 0.7500, 0.8802), Ni at (0.1245, 0.2500, 0.7286) and Ni at (0.2549, 0.7500, 0.4659).

For the energy above the lowest structure with this stoichiometry, the calculation gives 0.0 meV per atom. Its formation enthalpy at 0 K is -0.27 eV/atom.


(14)
DFT (PBE-GGA) results for crystalline HgHRhPb2 at its relaxed geometry.

The space group is P4/mmm (No. 123) and the conventional cell measures 5.3822, 5.3822 and 3.4737 Å, with angles of 90.00, 90.00 and 90.00 degrees. The asymmetric unit holds Hg at (0.0000, 0.0000, 0.0000), H at (0.5000, 0.5000, 0.5000), Rh at (0.5000, 0.5000, 0.0000) and Pb at (0.0000, 0.5000, 0.5000).

For the energy above the lowest structure with this stoichiometry, the calculation gives 14.6 meV per atom.


(15)
DFT (PBE-GGA) results for crystalline Zn2PIr at its relaxed geometry.

The space group is I-42d (No. 122) and the conventional cell measures 7.2699, 7.2699 and 4.7239 Å, with angles of 90.00, 90.00 and 90.00 degrees. The asymmetric unit holds Zn at (0.2285, 0.2500, 0.1250), P at (0.0000, 0.0000, 0.0000) and Ir at (0.0000, 0.0000, 0.5000).

Its formation enthalpy at 0 K is 0.24 eV/atom.


(16)
DFT (PBE-GGA) results for crystalline Sc4TaCd at its relaxed geometry.

The space group is F-43m (No. 216) and the conventional cell measures 8.0910, 8.0910 and 8.0910 Å, with angles of 90.00, 90.00 and 90.00 degrees. The asymmetric unit holds Sc at (0.1236, 0.1236, 0.1236), Ta at (0.2500, 0.2500, 0.7500) and Cd at (0.0000, 0.0000, 0.5000).

Its formation enthalpy at 0 K is 0.42 eV/atom.


(17)
DFT (PBE-GGA) results for crystalline TcHgRh2 at its relaxed geometry.

The space group is Cmmm (No. 65) and the conventional cell measures 5.7179, 7.7688 and 2.8276 Å, with angles of 90.00, 90.00 and 90.00 degrees. The asymmetric unit holds Tc at (0.0000, 0.0000, 0.0000), Hg at (0.0000, 0.5000, 0.0000) and Rh at (0.2500, 0.2500, 0.5000).

Its formation enthalpy at 0 K is 0.29 eV/atom.


(18)
DFT (PBE-GGA) results for crystalline Hf2ZrSbH at its relaxed geometry.

The space group is P4/mmm (No. 123) and the conventional cell measures 4.4540, 4.4540 and 4.4093 Å, with angles of 90.00, 90.00 and 90.00 degrees. The asymmetric unit holds Hf at (0.0000, 0.5000, 0.0000), Zr at (0.0000, 0.0000, 0.5000), Sb at (0.5000, 0.5000, 0.5000) and H at (0.0000, 0.0000, 0.0000).

The calculation puts the energy at -7.56 eV per atom.


(19)
DFT (PBE-GGA) results for crystalline AlFe3 at its relaxed geometry.

The space group is Cmmm (No. 65) and the conventional cell measures 3.0303, 4.0750 and 7.7956 Å, with angles of 90.00, 90.00 and 90.00 degrees. The asymmetric unit holds Al at (0.0000, 0.0000, 0.0000), Fe at (0.0000, 0.0000, 0.5000) and Fe at (0.0000, 0.5000, 0.2509).

Its formation enthalpy at 0 K is -0.08 eV/atom.


(20)
DFT (PBE-GGA) results for crystalline La2TlAgRu at its relaxed geometry.

The space group is P4/mmm (No. 123) and the conventional cell measures 5.2704, 5.2704 and 5.3414 Å, with angles of 90.00, 90.00 and 90.00 degrees. The asymmetric unit holds La at (0.0000, 0.5000, 0.0000), Tl at (0.0000, 0.0000, 0.5000), Ag at (0.5000, 0.5000, 0.5000) and Ru at (0.5000, 0.5000, 0.0000).

For the energy above the lowest structure with this stoichiometry, the calculation gives 184.4 meV per atom. Its formation enthalpy at 0 K is -0.11 eV/atom.